# Ba2Mn2Se2OF2, optimized geometry, DFT PBE with a Hubbard U
# size of the total moment = 20.0 μB/cell
# electronic total energy = -109.6 eV/cell
data_Ba2Mn2Se2OF2
_chemical_formula_sum 'Ba4 Mn4 Se4 O2 F4'
_symmetry_space_group_name_H-M 'I 4/m m m'
_symmetry_Int_Tables_number 139
_symmetry_space_group_name_Hall '-I 4 2'
_cell_length_a 4.346
_cell_length_b 4.346
_cell_length_c 19.894
_cell_angle_alpha 90.00
_cell_angle_beta 90.00
_cell_angle_gamma 90.00
loop_
_atom_site_label
_atom_site_type_symbol
_atom_site_fract_x
_atom_site_fract_y
_atom_site_fract_z
Ba1 Ba 0.000 0.000 0.172
Mn1 Mn 0.000 0.500 0.000
Se1 Se 0.000 0.000 0.407
O1 O 0.000 0.000 0.000
F1 F 0.000 0.500 0.250